1.
A relaxed structure of YMn3P. Source: Alexandria via LeMat-Bulk, functional PBEsol.

calculated formation energy	9.9	kJ/mol of formula units
SG	Pm-3m, No. 221

Lattice parameters (Å, degrees): 4.2502 4.2502 4.2502 90.00 90.00 90.00
Closest atoms and distances in Å follow each position.
Element x y z (fractional)
Mn1 0.0000 0.0000 0.5000  2 P 2.13
Mn2 0.5000 0.0000 0.0000  2 P 2.13
Mn3 0.0000 0.5000 0.0000  2 P 2.13
Y1 0.5000 0.5000 0.5000  12 Mn 3.01
P1 0.0000 0.0000 0.0000  6 Mn 2.13

---

2.
A relaxed structure of GaSnHg2. Source: Alexandria via LeMat-Bulk, functional PBEsol.

calculated formation energy	19.0	kJ/mol of formula units
SG	I-42d, No. 122

Lattice parameters (Å, degrees): 4.1884 4.1884 11.0337 100.94 100.94 90.00
Closest atoms and distances in Å follow each position.
Element x y z (fractional)
Sn1 0.0000 0.0000 0.0000  4 Ga 2.96, 4 Hg 3.05
Sn2 0.2500 0.7500 0.5000  4 Ga 2.96, 4 Hg 3.05
Hg1 0.8688 0.3750 0.2500  4 Hg 2.93-3.00, 2 Ga 3.03, 2 Sn 3.05
Hg2 0.6250 0.6188 0.7500  4 Hg 2.93-3.00, 2 Ga 3.03, 2 Sn 3.05
Hg3 0.1250 0.1312 0.7500  4 Hg 2.93-3.00, 2 Ga 3.03, 2 Sn 3.05
Hg4 0.3812 0.8750 0.2500  4 Hg 2.93-3.00, 2 Ga 3.03, 2 Sn 3.05
Ga1 0.7500 0.2500 0.5000  4 Sn 2.96, 4 Hg 3.03
Ga2 0.5000 0.5000 0.0000  4 Sn 2.96, 4 Hg 3.03

---

3.
A relaxed structure of FeTcIr. Source: Alexandria via LeMat-Bulk, functional PBEsol.

calculated formation energy	163.4	kJ/mol of formula units
SG	F-43m, No. 216

Lattice parameters (Å, degrees): 3.9996 3.9996 3.9996 60.00 60.00 60.00
Closest atoms and distances in Å follow each position.
Element x y z (fractional)
Fe1 0.0000 0.0000 0.0000  4 Tc 2.45
Ir1 0.5000 0.5000 0.5000  4 Tc 2.45
Tc1 0.2500 0.2500 0.2500  4 Fe 2.45, 4 Ir 2.45

---

4.
A relaxed structure of Zr2AlNiS. Source: Alexandria via LeMat-Bulk, functional PBEsol.

ΔE_f (raw)	11	meV per atom
SG	P4/mmm, No. 123

Lattice parameters (Å, degrees): 4.3754 4.6908 4.6908 90.00 90.00 90.00
Closest atoms and distances in Å follow each position.
Element x y z (fractional)
Zr1 0.0000 0.0000 0.5000  2 S 2.35
Zr2 0.0000 0.5000 0.0000  2 S 2.35
S1 0.0000 0.0000 0.0000  2 Al 2.19, 4 Zr 2.35
Ni1 0.5000 0.5000 0.5000  8 Zr 3.21, 4 Al 3.32
Al1 0.5000 0.0000 0.0000  2 S 2.19

---

5.
A relaxed structure of Y5Au. Source: Alexandria via LeMat-Bulk, functional PBEsol.

calculated formation energy	-94.3	kJ/mol of formula units
energy above the most stable polymorph in this dataset	102.1	meV per atom
SG	Amm2, No. 38

Lattice parameters (Å, degrees): 3.6468 5.3337 8.5704 90.00 102.28 90.00
Closest atoms and distances in Å follow each position.
Element x y z (fractional)
Y1 0.4582 0.5000 0.9165  6 Y 3.13-3.48, 4 Au 3.29
Y2 0.6485 0.0000 0.2970  2 Au 3.15, 6 Y 3.29-3.47
Y3 0.7814 0.5000 0.5629  12 Y 3.37-3.65
Y4 0.3397 0.0000 0.6795  2 Au 3.18, 6 Y 3.32-3.37
Y5 0.1103 0.5000 0.2206  8 Y 3.13-3.40, 2 Au 3.29
Au1 0.9951 0.0000 0.9902  10 Y 3.15-3.29

---

6.
A relaxed structure of CaInCo. Source: Alexandria via LeMat-Bulk, functional PBEsol.

calculated formation energy	144.9	kJ/mol of formula units
SG	F-43m, No. 216

Lattice parameters (Å, degrees): 4.6382 4.6382 4.6382 60.00 60.00 60.00
Closest atoms and distances in Å follow each position.
Element x y z (fractional)
Co1 0.5000 0.5000 0.5000  4 In 2.84
Ca1 0.0000 0.0000 0.0000  4 In 2.84
In1 0.2500 0.2500 0.2500  4 Co 2.84, 4 Ca 2.84

---

7.
A relaxed structure of LaTc2BiMo. Source: Alexandria via LeMat-Bulk, functional PBEsol.

calculated formation energy	479.6	kJ/mol of formula units
SG	P4/mmm, No. 123

Lattice parameters (Å, degrees): 4.6877 4.6877 5.3382 90.00 90.00 90.00
Closest atoms and distances in Å follow each position.
Element x y z (fractional)
Tc1 0.0000 0.5000 0.0000  2 Mo 2.34
Tc2 0.5000 0.0000 0.0000  2 Mo 2.34
Bi1 0.5000 0.5000 0.5000  4 La 3.31, 8 Tc 3.55
Mo1 0.0000 0.0000 0.0000  4 Tc 2.34
La1 0.0000 0.0000 0.5000  2 Mo 2.67

---

8.
A relaxed structure of BaAsRhBr2. Source: Alexandria via LeMat-Bulk, functional PBEsol.

ΔE_f (raw)	705	meV per atom
SG	P4/mmm, No. 123

Lattice parameters (Å, degrees): 6.0693 6.0693 6.3919 90.00 90.00 90.00
Closest atoms and distances in Å follow each position.
Element x y z (fractional)
Br1 0.5000 0.0000 0.0000  2 Ba 3.03
Br2 0.0000 0.5000 0.0000  2 Ba 3.03
As1 0.0000 0.0000 0.5000  2 Ba 3.20
Ba1 0.0000 0.0000 0.0000  4 Br 3.03, 2 As 3.20
Rh1 0.5000 0.5000 0.5000  4 As 4.29, 8 Br 4.41

---

9.
A relaxed structure of TeI2ClO. Source: Alexandria via LeMat-Bulk, functional PBEsol.

ΔE_f (raw)	320	meV per atom
SG	P4/mmm, No. 123

Lattice parameters (Å, degrees): 4.5391 5.1109 5.1109 90.00 90.00 90.00
Closest atoms and distances in Å follow each position.
Element x y z (fractional)
Cl1 0.5000 0.5000 0.5000  8 I 3.42, 4 Te 3.61
I1 0.0000 0.5000 0.0000  2 O 2.56
I2 0.0000 0.0000 0.5000  2 O 2.56
Te1 0.5000 0.0000 0.0000  2 O 2.27
O1 0.0000 0.0000 0.0000  2 Te 2.27

---

10.
A relaxed structure of CrP2Ir. Source: Alexandria via LeMat-Bulk, functional PBEsol.

calculated formation energy	-89.7	kJ/mol of formula units
SG	P4/mmm, No. 123

Lattice parameters (Å, degrees): 2.8763 2.8763 5.7653 90.00 90.00 90.00
Closest atoms and distances in Å follow each position.
Element x y z (fractional)
P1 0.0000 0.0000 0.2775  4 Cr 2.40, 1 P 2.57, 4 Ir 2.59
P2 0.0000 0.0000 0.7225  4 Cr 2.40, 1 P 2.57, 4 Ir 2.59
Cr1 0.5000 0.5000 0.5000  8 P 2.40
Ir1 0.5000 0.5000 0.0000  8 P 2.59, 4 Ir 2.88, 2 Cr 2.88

---

11.
A relaxed structure of MnSe4Cl. Source: Alexandria via LeMat-Bulk, functional PBEsol.

ΔE_f (raw)	410	meV per atom
SG	F-43m, No. 216

Lattice parameters (Å, degrees): 5.5768 5.5768 5.5768 60.00 60.00 60.00
Closest atoms and distances in Å follow each position.
Element x y z (fractional)
Cl1 0.7500 0.7500 0.7500  12 Se 3.27, 4 Mn 3.42
Mn1 0.0000 0.0000 0.0000  12 Se 3.27, 4 Cl 3.42
Se1 0.3748 0.3748 0.3748  6 Se 2.78-2.79
Se2 0.3748 0.8755 0.3748  6 Se 2.78-2.79
Se3 0.3748 0.3748 0.8755  6 Se 2.78-2.79
Se4 0.8755 0.3748 0.3748  6 Se 2.78-2.79

---

12.
A relaxed structure of KCu2P. Source: Alexandria via LeMat-Bulk, functional PBEsol.

calculated formation energy	82.5	kJ/mol of formula units
SG	P4mm, No. 99

Lattice parameters (Å, degrees): 3.1001 3.1001 7.3461 90.00 90.00 90.00
Closest atoms and distances in Å follow each position.
Element x y z (fractional)
Cu1 0.5000 0.5000 0.1564  1 P 2.32, 4 Cu 2.51
Cu2 0.0000 0.0000 0.9887  4 P 2.45, 4 Cu 2.51
P1 0.5000 0.5000 0.8407  5 Cu 2.32-2.45
K1 0.0000 0.0000 0.5142  4 K 3.10, 4 P 3.25, 4 Cu 3.42

---

13.
A relaxed structure of LiY2Ni2. Source: Alexandria via LeMat-Bulk, functional PBEsol.

calculated formation energy	-132.0	kJ/mol of formula units
energy above the most stable polymorph in this dataset	0.0	meV per atom
SG	P4/mbm, No. 127

Lattice parameters (Å, degrees): 3.6534 7.2079 7.2079 90.00 90.00 90.00
Closest atoms and distances in Å follow each position.
Element x y z (fractional)
Y1 0.5000 0.8259 0.3259  6 Ni 2.79-2.82
Y2 0.5000 0.3259 0.1741  6 Ni 2.79-2.82
Y3 0.5000 0.6741 0.8259  6 Ni 2.79-2.82
Y4 0.5000 0.1741 0.6741  6 Ni 2.79-2.82
Ni1 0.0000 0.3811 0.8811  1 Ni 2.42
Ni2 0.0000 0.6189 0.1189  1 Ni 2.42
Ni3 0.0000 0.1189 0.3811  1 Ni 2.42
Ni4 0.0000 0.8811 0.6189  1 Ni 2.42
Li1 0.0000 0.5000 0.5000  4 Ni 2.88
Li2 0.0000 0.0000 0.0000  4 Ni 2.88

---

14.
A relaxed structure of CaOsSe2. Source: Alexandria via LeMat-Bulk, functional PBEsol.

ΔE_f (raw)	-632	meV per atom
energy above the most stable polymorph in this dataset	49.7	meV per atom
SG	R3m, No. 160

Lattice parameters (Å, degrees): 3.9624 3.9624 6.3420 71.80 71.80 60.00
Closest atoms and distances in Å follow each position.
Element x y z (fractional)
Ca1 0.5025 0.5025 0.4926  6 Se 2.86-3.04, 1 Os 3.19
Se1 0.7227 0.7227 0.8320  3 Os 2.58
Se2 0.9330 0.9330 0.2010  3 Os 2.50
Os1 0.3227 0.3227 0.0319  6 Se 2.50-2.58

---

15.
A relaxed structure of Zr3In. Source: Alexandria via LeMat-Bulk, functional PBEsol.

calculated formation energy	-62.7	kJ/mol of formula units
SG	C2/m, No. 12

Lattice parameters (Å, degrees): 3.1643 5.4288 5.3919 100.48 90.00 106.94
Closest atoms and distances in Å follow each position.
Element x y z (fractional)
Zr1 0.5000 0.0000 0.5000  8 Zr 3.11-3.17, 4 In 3.13
Zr2 0.7443 0.4885 0.2429  3 In 3.06-3.18, 9 Zr 3.08-3.17
Zr3 0.2557 0.5115 0.7571  3 In 3.06-3.18, 9 Zr 3.08-3.17
In1 0.0000 0.0000 0.0000  10 Zr 3.06-3.18, 2 In 3.16

---

16.
A relaxed structure of Li3Mn2NiO6. Source: Alexandria via LeMat-Bulk, functional PBEsol.

ΔE_f (raw)	-1695	meV per atom
SG	C2/m, No. 12

Lattice parameters (Å, degrees): 2.8282 5.8156 6.4002 104.18 102.76 90.00
Closest atoms and distances in Å follow each position.
Element x y z (fractional)
Ni1 0.5000 0.0000 0.0000  6 O 2.03-2.05
Li1 0.1614 0.8372 0.3229  6 O 2.05-2.15
Li2 0.5000 0.5000 0.0000  6 O 2.03-2.11
Li3 0.8386 0.1628 0.6771  6 O 2.05-2.15
O1 0.3305 0.8919 0.6610  2 Mn 1.93, 1 Ni 2.05, 3 Li 2.05-2.10
O2 0.9906 0.7456 0.9812  1 Mn 1.88, 2 Ni 2.03, 3 Li 2.03-2.06
O3 0.3261 0.4329 0.6521  3 Mn 1.95, 3 Li 2.11-2.15
O4 0.0094 0.2544 0.0188  1 Mn 1.88, 2 Ni 2.03, 3 Li 2.03-2.06
O5 0.6695 0.1081 0.3390  2 Mn 1.93, 1 Ni 2.05, 3 Li 2.05-2.10
O6 0.6739 0.5671 0.3479  3 Mn 1.95, 3 Li 2.11-2.15
Mn1 0.1646 0.3311 0.3292  6 O 1.88-1.95
Mn2 0.8354 0.6689 0.6708  6 O 1.88-1.95

---

17.
A relaxed structure of Ni3HRh. Source: Alexandria via LeMat-Bulk, functional PBEsol.

energy above the most stable polymorph in this dataset	0.0	meV per atom
SG	Pm-3m, No. 221

Lattice parameters (Å, degrees): 3.6026 3.6026 3.6026 90.00 90.00 90.00
Closest atoms and distances in Å follow each position.
Element x y z (fractional)
Ni1 0.0000 0.0000 0.5000  2 H 1.80
Ni2 0.5000 0.0000 0.0000  2 H 1.80
Ni3 0.0000 0.5000 0.0000  2 H 1.80
Rh1 0.5000 0.5000 0.5000  12 Ni 2.55
H1 0.0000 0.0000 0.0000  6 Ni 1.80

---

18.
A relaxed structure of KZnCdB2. Source: Alexandria via LeMat-Bulk, functional PBEsol.

calculated formation energy	1265.5	kJ/mol of formula units
SG	P4/mmm, No. 123

Lattice parameters (Å, degrees): 4.9062 4.9062 5.7610 90.00 90.00 90.00
Closest atoms and distances in Å follow each position.
Element x y z (fractional)
K1 0.0000 0.0000 0.0000  4 B 2.45
Cd1 0.0000 0.0000 0.5000  2 K 2.88
Zn1 0.5000 0.5000 0.5000  4 Cd 3.47, 8 B 3.78
B1 0.5000 0.0000 0.0000  2 K 2.45
B2 0.0000 0.5000 0.0000  2 K 2.45

---

19.
A relaxed structure of Y2ScAg. Source: Alexandria via LeMat-Bulk, functional PBEsol.

calculated formation energy	-49.7	kJ/mol of formula units
energy above the most stable polymorph in this dataset	0.0	meV per atom
SG	Imm2, No. 44

Lattice parameters (Å, degrees): 3.5684 5.1495 6.2807 114.20 106.50 90.00
Closest atoms and distances in Å follow each position.
Element x y z (fractional)
Y1 0.0029 0.0029 0.0058  4 Ag 3.14, 2 Sc 3.49, 2 Y 3.50
Y2 0.2205 0.7205 0.4410  2 Ag 3.08, 4 Sc 3.21
Sc1 0.7869 0.2869 0.5739  2 Ag 2.84
Ag1 0.4896 0.4896 0.9793  2 Sc 2.84, 6 Y 3.08-3.14

---

20.
A relaxed structure of Li2MnSiO4. Source: Alexandria via LeMat-Bulk, functional PBEsol.

ΔE_f (raw)	-2232	meV per atom
energy above the most stable polymorph in this dataset	8.8	meV per atom
SG	Pna2_1, No. 33

Lattice parameters (Å, degrees): 5.0721 6.2652 10.8429 90.00 90.00 90.00
Closest atoms and distances in Å follow each position.
Element x y z (fractional)
O1 0.2111 0.5830 0.6619  1 Si 1.65
O2 0.2889 0.5830 0.1619  1 Si 1.65
O3 0.1349 0.8634 0.9140  1 Si 1.65
O4 0.8030 0.8714 0.5555  1 Si 1.64
O5 0.2995 0.1519 0.1562  1 Si 1.65
O6 0.6970 0.8714 0.0555  1 Si 1.64
O7 0.7111 0.0830 0.8381  1 Si 1.65
O8 0.7889 0.0830 0.3381  1 Si 1.65
O9 0.8651 0.3634 0.0860  1 Si 1.65
O10 0.3030 0.3714 0.9445  1 Si 1.64
O11 0.6349 0.3634 0.5860  1 Si 1.65
O12 0.3651 0.8634 0.4140  1 Si 1.65
O13 0.1970 0.3714 0.4445  1 Si 1.64
O14 0.2005 0.1519 0.6562  1 Si 1.65
O15 0.7995 0.6519 0.3438  1 Si 1.65
O16 0.7005 0.6519 0.8438  1 Si 1.65
Li1 0.6905 0.1196 0.1613  4 O 1.93-1.99
Li2 0.1905 0.6196 0.3387  4 O 1.93-1.99
Li3 0.2961 0.8692 0.0750  4 O 1.93-2.04
Li4 0.7961 0.3692 0.4250  4 O 1.93-2.04
Li5 0.3095 0.6196 0.8387  4 O 1.93-1.99
Li6 0.7039 0.3692 0.9250  4 O 1.93-2.04
Li7 0.2039 0.8692 0.5750  4 O 1.93-2.04
Li8 0.8095 0.1196 0.6613  4 O 1.93-1.99
Mn1 0.1941 0.1155 0.3323  4 O 2.00-2.07
Mn2 0.6941 0.6155 0.1677  4 O 2.00-2.07
Mn3 0.3059 0.1155 0.8323  4 O 2.00-2.07
Mn4 0.8059 0.6155 0.6677  4 O 2.00-2.07
Si1 0.3099 0.3682 0.5862  4 O 1.64-1.65
Si2 0.1901 0.3682 0.0862  4 O 1.64-1.65
Si3 0.8099 0.8682 0.9138  4 O 1.64-1.65
Si4 0.6901 0.8682 0.4138  4 O 1.64-1.65